Below is a relaxed KMnRh2 crystal, with properties calculated at the GGA-PBE level.

## Properties
The value obtained for the energy of formation from the pure elements is 0.40 eV per atom. For the energy above the most stable polymorph in this dataset, the calculation gives 131.8 meV per atom. The density of states at the Fermi level comes out at 3.5 states/eV per cell.

```
data_KMnRh2
_space_group_name_H-M_alt 'P 1'
_space_group_IT_number 1
_cell_length_a 4.396
_cell_length_b 4.396
_cell_length_c 7.033
_cell_angle_alpha 96.57
_cell_angle_beta 96.57
_cell_angle_gamma 38.06
loop_
_space_group_symop_operation_xyz
'x,y,z'
loop_
_atom_site_label
_atom_site_fract_x
_atom_site_fract_y
_atom_site_fract_z
K1 0.000 0.000 0.000
Mn1 0.500 0.500 0.500
Rh1 0.226 0.226 0.654
Rh2 0.774 0.774 0.346
```